[1]
Computed, not measured: a relaxed structure of UFeP at the PBE-GGA level of DFT.

Results
total magnetization = 2.97 μB/f.u.
space-group type = No. 180
total energy = -8.619 eV/atom

Structure (POSCAR):
```
UFeP
1.0
5.6614 0.0000 0.0000
-2.8307 4.9029 0.0000
0.0000 0.0000 10.5139
U Fe P
6 6 6
Direct
0.0000 0.0000 0.0000
0.0000 0.0000 0.3333
0.0000 0.0000 0.6667
0.0000 0.5000 0.1667
0.5000 0.0000 0.5000
0.5000 0.5000 0.8333
0.0000 0.5000 0.4755
0.0000 0.5000 0.8578
0.5000 0.0000 0.1911
0.5000 0.0000 0.8089
0.5000 0.5000 0.1422
0.5000 0.5000 0.5245
0.2375 0.6187 0.6667
0.3813 0.6187 0.3333
0.3813 0.7625 0.0000
0.6187 0.2375 0.0000
0.6187 0.3813 0.3333
0.7625 0.3813 0.6667
```


[2]
Computed, not measured: a relaxed structure of Sm2Y5Er5 at the PBE-GGA level of DFT.

Results
total magnetization = 0.00 μB/f.u.
space-group type = No. 12
distance to the lowest polymorph of the same formula = 42 meV per atom

Structure (POSCAR):
```
Sm2Y5Er5
1.0
8.5213 -2.8092 0.0000
8.5213 2.8092 0.0000
-5.4835 0.0000 7.9628
Sm Y Er
2 5 5
Direct
0.1252 0.1252 0.4545
0.8748 0.8748 0.5455
0.0000 0.0000 0.0000
0.1248 0.1248 0.7882
0.2500 0.2500 0.2464
0.7500 0.7500 0.7536
0.8752 0.8752 0.2118
0.3758 0.3758 0.0396
0.3756 0.3756 0.7059
0.5000 0.5000 0.5000
0.6244 0.6244 0.2941
0.6242 0.6242 0.9604
```


[3]
Computed, not measured: a relaxed structure of RbNpZnSe3 at the PBE-GGA level of DFT.

Results
uncorrected formation energy = -6.3 eV/f.u.
total magnetization = 4.00 μB/f.u.
space-group type = No. 11

Structure (POSCAR):
```
RbNpZnSe3
1.0
9.4104 0.0000 0.0000
0.0000 4.2112 0.0000
-3.2706 0.0000 9.5324
Rb Np Zn Se
2 2 2 6
Direct
0.2109 0.2500 0.2383
0.7891 0.7500 0.7617
0.3289 0.7500 0.8564
0.6711 0.2500 0.1436
0.0852 0.2500 0.6096
0.9148 0.7500 0.3904
0.1133 0.2500 0.8592
0.1942 0.7500 0.5358
0.4664 0.7500 0.1561
0.5336 0.2500 0.8439
0.8058 0.2500 0.4642
0.8867 0.7500 0.1408
```


[4]
Computed, not measured: a relaxed structure of Y2ErTm4Mg at the PBE-GGA level of DFT.

Results
total magnetization = 0.00 μB/f.u.
space-group type = No. 47
total energy = -4.591 eV/atom

Structure (POSCAR):
```
Y2ErTm4Mg
1.0
4.9005 0.0000 0.0000
0.0000 4.9108 0.0000
0.0000 0.0000 9.9659
Y Er Tm Mg
2 1 4 1
Direct
0.0000 0.0000 0.0000
0.5000 0.5000 0.5000
0.0000 0.0000 0.5000
0.0000 0.5000 0.2499
0.0000 0.5000 0.7501
0.5000 0.0000 0.2498
0.5000 0.0000 0.7502
0.5000 0.5000 0.0000
```